Computed, not measured: Sc2AlCrS6 after structural relaxation at the PBE level of DFT.

a = 6.2885 Å, b = 6.2885 Å, c = 16.8532 Å
α = 90.00°, β = 90.00°, γ = 120.00°
Space group R3 (No. 146, hexagonal axes)
Asymmetric unit:
Sc 0.0000 0.0000 0.0000 [3 per cell]
Sc 0.0000 0.0000 0.4960 [3 per cell]
Al 0.0000 0.0000 0.1941 [3 per cell]
Cr 0.0000 0.0000 0.6891 [3 per cell]
S 0.0368 0.3482 0.2647 [9 per cell]
S 0.0398 0.6966 0.7661 [9 per cell]

Properties
ΔE_f (raw) = -13.121 eV per formula unit
Mass density = 3.12 g/cm3
E_tot = -6.391 eV/atom
Spin magnetization = 9.00 Bohr magnetons per cell